Record 1
PBE Mo2AuCl, optimized geometry; symmetry = Imm2 (44); total DFT energy (no corrections) = -6.2813 eV/atom; polymorph energy (0 for the lowest one) = 234.5 meV per atom
1.0
-1.5414 2.3675 5.4651
1.5414 -2.3675 5.4651
1.5414 2.3675 -5.4651
Mo Au Cl
2 1 1
direct
0.0000 0.0000 0.0000
0.8367 0.3367 0.5000
0.3434 0.8434 0.5000
0.6144 0.6144 0.0000

=====

Record 2
PBE MoAu2Cl, optimized geometry; symmetry = Immm (71); total DFT energy (no corrections) = -4.4694 eV/atom; polymorph energy (0 for the lowest one) = 187.5 meV per atom
1.0
-1.4327 2.1922 6.2265
1.4327 -2.1922 6.2265
1.4327 2.1922 -6.2265
Mo Au Cl
1 2 1
direct
0.0000 0.0000 0.0000
0.1977 0.6977 0.5000
0.8023 0.3023 0.5000
0.5000 0.5000 0.0000

=====

Record 3
PBE MoAu2Cl, optimized geometry; symmetry = Fm-3m (225); total DFT energy (no corrections) = -4.0133 eV/atom; polymorph energy (0 for the lowest one) = 643.6 meV per atom
1.0
0.0000 3.3739 3.3739
3.3739 0.0000 3.3739
3.3739 3.3739 0.0000
Mo Au Cl
1 2 1
direct
0.0000 0.0000 0.0000
0.2500 0.2500 0.2500
0.7500 0.7500 0.7500
0.5000 0.5000 0.5000

=====

Record 4
PBE MoAu2Cl, optimized geometry; symmetry = P4/mmm (123); total DFT energy (no corrections) = -4.0126 eV/atom; polymorph energy (0 for the lowest one) = 644.3 meV per atom
1.0
5.2333 0.0000 0.0000
0.0000 5.2333 0.0000
0.0000 0.0000 2.7645
Mo Au Cl
1 2 1
direct
0.0000 0.0000 0.0000
0.0000 0.5000 0.5000
0.5000 0.0000 0.5000
0.5000 0.5000 0.0000

=====

Record 5
PBE MoAu3Cl, optimized geometry; symmetry = Pm-3m (221); total DFT energy (no corrections) = -3.0330 eV/atom; polymorph energy (0 for the lowest one) = 296.0 meV per atom
1.0
4.9101 0.0000 0.0000
0.0000 4.9101 0.0000
0.0000 0.0000 4.9101
Mo Au Cl
1 3 1
direct
0.0000 0.0000 0.0000
0.0000 0.5000 0.5000
0.5000 0.0000 0.5000
0.5000 0.5000 0.0000
0.5000 0.5000 0.5000

=====

Record 6
PBE MoAuCl, optimized geometry; symmetry = P-6m2 (187); total DFT energy (no corrections) = -4.7226 eV/atom; polymorph energy (0 for the lowest one) = 525.0 meV per atom
1.0
4.5233 0.0000 0.0000
-2.2616 3.9173 0.0000
0.0000 0.0000 2.8788
Mo Au Cl
1 1 1
direct
0.0000 0.0000 0.0000
0.6667 0.3333 0.5000
0.3333 0.6667 0.0000

=====

Record 7
PBE MoAu2Cl, optimized geometry; symmetry = Cmm2 (35); total DFT energy (no corrections) = -4.6070 eV/atom; polymorph energy (0 for the lowest one) = 49.9 meV per atom
1.0
1.4940 -2.5093 0.0000
1.4940 2.5093 0.0000
0.0000 0.0000 10.3506
Mo Au Cl
1 2 1
direct
0.0000 0.0000 0.0000
0.0000 0.0000 0.5269
0.5000 0.5000 0.7683
0.5000 0.5000 0.1855

=====

Record 8
PBE Mo2AuCl, optimized geometry; symmetry = Cmmm (65); total DFT energy (no corrections) = -6.0680 eV/atom; polymorph energy (0 for the lowest one) = 447.8 meV per atom
1.0
1.5550 -2.3348 0.0000
1.5550 2.3348 0.0000
0.0000 0.0000 9.1602
Mo Au Cl
2 1 1
direct
0.0000 0.0000 0.2377
0.0000 0.0000 0.7623
0.5000 0.5000 0.5000
0.5000 0.5000 0.0000

=====

Record 9
PBE MoAu2Cl, optimized geometry; symmetry = F-43m (216); total DFT energy (no corrections) = -4.1345 eV/atom; polymorph energy (0 for the lowest one) = 522.4 meV per atom
1.0
0.0000 3.2702 3.2702
3.2702 0.0000 3.2702
3.2702 3.2702 0.0000
Mo Au Cl
1 2 1
direct
0.0000 0.0000 0.0000
0.2500 0.2500 0.2500
0.5000 0.5000 0.5000
0.7500 0.7500 0.7500

=====

Record 10
PBE MoAu4Cl, optimized geometry; symmetry = F-43m (216); total DFT energy (no corrections) = -3.7816 eV/atom
1.0
0.0000 3.9293 3.9293
3.9293 0.0000 3.9293
3.9293 3.9293 0.0000
Mo Au Cl
1 4 1
direct
0.0000 0.0000 0.0000
0.1249 0.6250 0.6250
0.6250 0.1249 0.6250
0.6250 0.6250 0.1249
0.6250 0.6250 0.6250
0.2500 0.2500 0.2500

=====

Record 11
PBE Mo2AuCl, optimized geometry; symmetry = I-4m2 (119); total DFT energy (no corrections) = -5.7591 eV/atom; polymorph energy (0 for the lowest one) = 756.7 meV per atom
1.0
-2.0504 2.0504 4.0550
2.0504 -2.0504 4.0550
2.0504 2.0504 -4.0550
Mo Au Cl
2 1 1
direct
0.0000 0.0000 0.0000
0.7500 0.2500 0.5000
0.2500 0.7500 0.5000
0.5000 0.5000 0.0000

=====

Record 12
PBE Mo2AuCl, optimized geometry; symmetry = R-3m (166); total DFT energy (no corrections) = -6.2508 eV/atom; polymorph energy (0 for the lowest one) = 265.0 meV per atom
1.0
1.4576 0.8416 8.7662
-1.4576 0.8416 8.7662
0.0000 -1.6831 8.7662
Mo Au Cl
2 1 1
direct
0.2452 0.2452 0.2452
0.7548 0.7548 0.7548
0.0000 0.0000 0.0000
0.5000 0.5000 0.5000

=====

It is found that the density of states at the Fermi level values, taken in the order of the records, are 1.5, 2.3, 4.6, 6.1, 3.0, 3.6, 2.7, 4.1, 3.4, 2.7, 4.6, 4.2 states/eV per cell.
It is found that the formation energy (no corrections) values, taken in the order of the records, are 0.4152, 0.3387, 0.7948, 0.7955, 1.4689, 0.5958, 0.2011, 0.6285, 0.6736, 0.5162, 0.9375, 0.4458 eV per atom.